A plane-wave DFT calculation with PBE with a Hubbard U was carried out for an optimized crystal structure of TlCoSeO.

Values from the calculation:
**Energy above the most stable polymorph in this dataset**: 364 meV per atom
**Electronic total energy**: -33.0 eV/cell
**Magnetic moment**: 7.79 μB per cell

a = 4.212 Å, b = 4.212 Å, c = 9.821 Å
α = 90.00°, β = 90.00°, γ = 90.00°
Space group P4/nmm (No. 129, origin choice 2)
Symmetry-distinct sites (fractional):
1 Tl 0.250 0.750 0.000
2 Co 0.250 0.250 0.488
3 Se 0.250 0.250 0.217
4 O 0.250 0.750 0.500